DFT (GGA+U) results for a geometry-optimized Mn2TeO structure.

For the calculated total energy, the calculation gives -26.56 eV/f.u. The offset from the most stable computed form comes out at 0.0 meV/atom. The total magnetization is 40.00 μB per cell.

It has space group I-42d (No. 122), with a = 5.7279 Å, b = 5.7279 Å, c = 10.6053 Å, α = 90.00°, β = 90.00° and γ = 90.00°. Symmetry generates all atoms from Mn at (0.1417, 0.2500, 0.1250), Te at (0.0000, 0.0000, 0.5000) and O at (0.0000, 0.0000, 0.0000).